1.
The following is a DFT calculation (GGA-PBE) of an optimized crystal structure of Li2Co2C.

E	-5.4520	eV/atom
calculated density	4.34	g/cm³
N(E_F)	3.90	states/eV/cell

a = 3.661 Å, b = 3.661 Å, c = 4.105 Å
α = 90.00°, β = 90.00°, γ = 90.00°
Fractional positions:
Li (0.500, 0.500, 0.500)
Li (0.000, 0.000, 0.500)
Co (0.000, 0.500, 0.000)
Co (0.500, 0.000, 0.000)
C (0.000, 0.000, 0.000)

2.
The following is a DFT calculation (GGA-PBE) of an optimized crystal structure of LiCo2C2.

E	-6.3089	eV/atom
calculated density	5.16	g/cm³
N(E_F)	2.74	states/eV/cell

a = 3.566 Å, b = 3.566 Å, c = 4.533 Å
α = 66.84°, β = 66.84°, γ = 90.00°
Fractional positions:
C (0.750, 0.250, 0.500)
C (0.250, 0.750, 0.500)
Co (0.341, 0.341, 0.318)
Co (0.659, 0.659, 0.682)
Li (0.000, 0.000, 0.000)

3.
The following is a DFT calculation (GGA-PBE) of an optimized crystal structure of LiCoC3.

E	-4.4084	eV/atom
energy relative to the lowest polymorph listed for this composition	1027	meV per atom
calculated density	3.87	g/cm³
N(E_F)	2.79	states/eV/cell

a = 3.523 Å, b = 3.523 Å, c = 3.523 Å
α = 90.00°, β = 90.00°, γ = 90.00°
Fractional positions:
C (0.000, 0.500, 0.000)
C (0.000, 0.000, 0.500)
C (0.500, 0.000, 0.000)
Co (0.500, 0.500, 0.500)
Li (0.000, 0.000, 0.000)

4.
The following is a DFT calculation (GGA-PBE) of an optimized crystal structure of LiMgCo2C.

E	-5.3522	eV/atom
energy relative to the lowest polymorph listed for this composition	115	meV per atom
calculated density	4.53	g/cm³
N(E_F)	3.32	states/eV/cell

a = 3.719 Å, b = 3.719 Å, c = 4.268 Å
α = 90.00°, β = 90.00°, γ = 90.00°
Fractional positions:
Mg (0.000, 0.000, 0.500)
Co (0.000, 0.500, 0.000)
Co (0.500, 0.000, 0.000)
C (0.000, 0.000, 0.000)
Li (0.500, 0.500, 0.500)

5.
The following is a DFT calculation (GGA-PBE) of an optimized crystal structure of LiMgCo2C.

E	-5.4673	eV/atom
energy relative to the lowest polymorph listed for this composition	0	meV per atom
calculated density	4.78	g/cm³
N(E_F)	1.47	states/eV/cell

a = 3.712 Å, b = 3.712 Å, c = 4.059 Å
α = 90.00°, β = 90.00°, γ = 90.00°
Fractional positions:
Mg (0.500, 0.500, 0.500)
Co (0.000, 0.500, 0.000)
Co (0.500, 0.000, 0.000)
C (0.000, 0.000, 0.000)
Li (0.000, 0.000, 0.500)

6.
The following is a DFT calculation (GGA-PBE) of an optimized crystal structure of Li2MgCoC.

E	-4.2493	eV/atom
calculated density	2.96	g/cm³
N(E_F)	1.64	states/eV/cell

a = 4.090 Å, b = 4.090 Å, c = 3.661 Å
α = 90.00°, β = 90.00°, γ = 90.00°
Fractional positions:
Mg (0.500, 0.500, 0.500)
Co (0.000, 0.000, 0.500)
C (0.000, 0.000, 0.000)
Li (0.000, 0.500, 0.000)
Li (0.500, 0.000, 0.000)